Record 1
VASP calculation (PBE) on a relaxed structure of BaBeRe.

Values from the calculation:
- electronic total energy (eV per atom) = -4.43
- volume (A^3/atom) = 23.05
- size of the total moment (μB per cell) = 5.73
- ρ (g cm⁻³) = 7.985

a b c (Å): 6.516 6.516 6.516
angles (deg): 90.00 90.00 90.00
Space group F-43m (No. 216)
Unique sites:
Ba 0.000 0.000 0.000 [4 per cell]
Be 0.250 0.250 0.250 [4 per cell]
Re 0.000 0.000 0.500 [4 per cell]

Record 2
VASP calculation (PBE) on a relaxed structure of BaBeRe.

Values from the calculation:
- electronic total energy (eV per atom) = -4.37
- volume (A^3/atom) = 23.52
- size of the total moment (μB per cell) = 4.02
- ρ (g cm⁻³) = 7.827

a b c (Å): 6.559 6.559 6.559
angles (deg): 90.00 90.00 90.00
Space group F-43m (No. 216)
Unique sites:
Ba 0.000 0.000 0.000 [4 per cell]
Be 0.000 0.000 0.500 [4 per cell]
Re 0.250 0.250 0.250 [4 per cell]

Record 3
VASP calculation (PBE) on a relaxed structure of Ba2BeReS6.

Values from the calculation:
- electronic total energy (eV per atom) = -5.35
- volume (A^3/atom) = 20.88
- size of the total moment (μB per cell) = 2.31
- ρ (g cm⁻³) = 5.266

a b c (Å): 9.418 9.418 9.418
angles (deg): 90.00 90.00 90.00
Space group Fm-3m (No. 225)
Unique sites:
Ba 0.250 0.250 0.250 [8 per cell]
Be 0.000 0.000 0.000 [4 per cell]
Re 0.000 0.000 0.500 [4 per cell]
S 0.000 0.000 0.247 [24 per cell]

Record 4
VASP calculation (PBE) on a relaxed structure of BaBeReTc.

Values from the calculation:
- electronic total energy (eV per atom) = -5.55
- volume (A^3/atom) = 17.13
- size of the total moment (μB per cell) = 0.06
- ρ (g cm⁻³) = 10.432

a b c (Å): 6.496 6.496 6.496
angles (deg): 90.00 90.00 90.00
Space group F-43m (No. 216)
Unique sites:
Ba 0.000 0.000 0.000 [4 per cell]
Be 0.000 0.000 0.500 [4 per cell]
Re 0.250 0.250 0.750 [4 per cell]
Tc 0.250 0.250 0.250 [4 per cell]

Record 5
VASP calculation (PBE) on a relaxed structure of BaBeReTc.

Values from the calculation:
- electronic total energy (eV per atom) = -5.80
- volume (A^3/atom) = 18.37
- size of the total moment (μB per cell) = 0.04
- ρ (g cm⁻³) = 9.732

a b c (Å): 6.648 6.648 6.648
angles (deg): 90.00 90.00 90.00
Space group F-43m (No. 216)
Unique sites:
Ba 0.000 0.000 0.000 [4 per cell]
Be 0.250 0.250 0.250 [4 per cell]
Re 0.000 0.000 0.500 [4 per cell]
Tc 0.250 0.250 0.750 [4 per cell]

Record 6
VASP calculation (PBE) on a relaxed structure of Ba2TaBeS6.

Values from the calculation:
- electronic total energy (eV per atom) = -5.63
- volume (A^3/atom) = 21.79
- size of the total moment (μB per cell) = 0.00
- ρ (g cm⁻³) = 5.008

a b c (Å): 9.552 9.552 9.552
angles (deg): 90.00 90.00 90.00
Space group Fm-3m (No. 225)
Unique sites:
Ba 0.250 0.250 0.250 [8 per cell]
Ta 0.000 0.000 0.000 [4 per cell]
Be 0.000 0.000 0.500 [4 per cell]
S 0.000 0.000 0.256 [24 per cell]

Record 7
VASP calculation (PBE) on a relaxed structure of Ba4SmBe.

Values from the calculation:
- electronic total energy (eV per atom) = -2.18
- volume (A^3/atom) = 51.31
- size of the total moment (μB per cell) = 0.36
- ρ (g cm⁻³) = 3.822

a b c (Å): 11.957 12.439 4.140
angles (deg): 90.00 90.00 90.00
Space group Cmmm (No. 65)
Unique sites:
Ba 0.000 0.244 0.000 [4 per cell]
Ba 0.206 0.500 0.500 [4 per cell]
Sm 0.000 0.000 0.500 [2 per cell]
Be 0.000 0.500 0.000 [2 per cell]

Record 8
VASP calculation (PBE) on a relaxed structure of BaSmBe.

Values from the calculation:
- electronic total energy (eV per atom) = -2.86
- volume (A^3/atom) = 33.66
- size of the total moment (μB per cell) = 0.99
- ρ (g cm⁻³) = 4.879

a b c (Å): 7.392 7.392 7.392
angles (deg): 90.00 90.00 90.00
Space group F-43m (No. 216)
Unique sites:
Ba 0.000 0.000 0.000 [4 per cell]
Sm 0.000 0.000 0.500 [4 per cell]
Be 0.250 0.250 0.250 [4 per cell]

Record 9
VASP calculation (PBE) on a relaxed structure of BaTbBe.

Values from the calculation:
- electronic total energy (eV per atom) = -2.25
- volume (A^3/atom) = 30.96
- size of the total moment (μB per cell) = 0.02
- ρ (g cm⁻³) = 5.457

a b c (Å): 7.189 7.189 7.189
angles (deg): 90.00 90.00 90.00
Space group F-43m (No. 216)
Unique sites:
Ba 0.000 0.000 0.000 [4 per cell]
Tb 0.250 0.250 0.250 [4 per cell]
Be 0.250 0.250 0.750 [4 per cell]

Record 10
VASP calculation (PBE) on a relaxed structure of BaTbBe.

Values from the calculation:
- electronic total energy (eV per atom) = -2.82
- volume (A^3/atom) = 33.00
- size of the total moment (μB per cell) = 0.90
- ρ (g cm⁻³) = 5.120

a b c (Å): 7.343 7.343 7.343
angles (deg): 90.00 90.00 90.00
Space group F-43m (No. 216)
Unique sites:
Ba 0.000 0.000 0.000 [4 per cell]
Tb 0.000 0.000 0.500 [4 per cell]
Be 0.250 0.250 0.250 [4 per cell]

Record 11
VASP calculation (PBE) on a relaxed structure of BaBe2Tc.

Values from the calculation:
- electronic total energy (eV per atom) = -3.64
- volume (A^3/atom) = 17.65
- size of the total moment (μB per cell) = 0.15
- ρ (g cm⁻³) = 5.958

a b c (Å): 6.561 6.561 6.561
angles (deg): 90.00 90.00 90.00
Space group F-43m (No. 216)
Unique sites:
Ba 0.000 0.000 0.000 [4 per cell]
Be 0.000 0.000 0.500 [4 per cell]
Be 0.250 0.250 0.250 [4 per cell]
Tc 0.250 0.250 0.750 [4 per cell]

Record 12
VASP calculation (PBE) on a relaxed structure of BaBeTc.

Values from the calculation:
- electronic total energy (eV per atom) = -4.03
- volume (A^3/atom) = 23.51
- size of the total moment (μB per cell) = 5.64
- ρ (g cm⁻³) = 5.753

a b c (Å): 6.559 6.559 6.559
angles (deg): 90.00 90.00 90.00
Space group F-43m (No. 216)
Unique sites:
Ba 0.000 0.000 0.000 [4 per cell]
Be 0.250 0.250 0.250 [4 per cell]
Tc 0.000 0.000 0.500 [4 per cell]

Q: Look up the ρ of the fourth one.
A: 10.432 g cm⁻³

Q: The highest size of the total moment belongs to which entry?
A: number 1

Q: ρ of number 2 (BaBeRe)?
A: 7.827 g cm⁻³